[1]
A relaxed TaSbH3 crystal. Source: Alexandria, functional PBE.

- Fermi-level density of states (states/eV per cell) = 2.9
- M_tot (μB/f.u.) = 0.0
- final energy (eV per formula unit) = -24.37
- energy above the lowest structure with this stoichiometry (meV/atom) = 0.0
- space group = Pm-3m

a = 3.760 Å, b = 3.760 Å, c = 3.760 Å
α = 90.00°, β = 90.00°, γ = 90.00°
Atoms (fractional coordinates):
Ta (0.000, 0.000, 0.000)
Sb (0.500, 0.500, 0.500)
H (0.000, 0.000, 0.500)
H (0.000, 0.500, 0.000)
H (0.500, 0.000, 0.000)

---

[2]
A relaxed TaSbH3 crystal. Source: Alexandria, functional PBE.

- Fermi-level density of states (states/eV per cell) = 3.3
- M_tot (μB/f.u.) = 0.0
- final energy (eV per formula unit) = -19.52
- energy above the lowest structure with this stoichiometry (meV/atom) = 968.5
- space group = Pm-3m

a = 3.824 Å, b = 3.824 Å, c = 3.824 Å
α = 90.00°, β = 90.00°, γ = 90.00°
Atoms (fractional coordinates):
Ta (0.000, 0.000, 0.000)
Sb (0.500, 0.500, 0.500)
H (0.000, 0.500, 0.500)
H (0.500, 0.000, 0.500)
H (0.500, 0.500, 0.000)

---

[3]
A relaxed TaTcSb2H crystal. Source: Alexandria, functional PBE.

- Fermi-level density of states (states/eV per cell) = 5.1
- M_tot (μB/f.u.) = 0.0
- final energy (eV per formula unit) = -30.49
- space group = P4/mmm

a = 5.201 Å, b = 5.201 Å, c = 3.374 Å
α = 90.00°, β = 90.00°, γ = 90.00°
Atoms (fractional coordinates):
Ta (0.000, 0.000, 0.000)
Tc (0.500, 0.500, 0.500)
Sb (0.000, 0.500, 0.500)
Sb (0.500, 0.000, 0.500)
H (0.500, 0.500, 0.000)

---

[4]
A relaxed TaSb2TeH crystal. Source: Alexandria, functional PBE.

- Fermi-level density of states (states/eV per cell) = 4.1
- M_tot (μB/f.u.) = 0.6
- final energy (eV per formula unit) = -22.85
- energy above the lowest structure with this stoichiometry (meV/atom) = 12.0
- space group = P4/mmm

a = 4.319 Å, b = 4.319 Å, c = 5.434 Å
α = 90.00°, β = 90.00°, γ = 90.00°
Atoms (fractional coordinates):
Ta (0.000, 0.000, 0.000)
Sb (0.000, 0.500, 0.500)
Sb (0.500, 0.000, 0.500)
Te (0.500, 0.500, 0.000)
H (0.500, 0.500, 0.500)

---

[5]
A relaxed TaSb2TeH crystal. Source: Alexandria, functional PBE.

- Fermi-level density of states (states/eV per cell) = 4.4
- M_tot (μB/f.u.) = 0.8
- final energy (eV per formula unit) = -22.91
- energy above the lowest structure with this stoichiometry (meV/atom) = 0.0
- space group = P4/mmm

a = 5.384 Å, b = 5.384 Å, c = 5.412 Å
α = 90.00°, β = 90.00°, γ = 90.00°
Atoms (fractional coordinates):
Ta (0.000, 0.000, 0.000)
Sb (0.000, 0.500, 0.000)
Sb (0.500, 0.000, 0.000)
Te (0.000, 0.000, 0.500)
H (0.500, 0.500, 0.500)

---

[6]
A relaxed TaTi2SbH crystal. Source: Alexandria, functional PBE.

- Fermi-level density of states (states/eV per cell) = 5.1
- M_tot (μB/f.u.) = 0.0
- final energy (eV per formula unit) = -36.74
- space group = P4/mmm

a = 4.301 Å, b = 4.301 Å, c = 3.944 Å
α = 90.00°, β = 90.00°, γ = 90.00°
Atoms (fractional coordinates):
Ta (0.000, 0.000, 0.000)
Ti (0.000, 0.500, 0.500)
Ti (0.500, 0.000, 0.500)
Sb (0.500, 0.500, 0.000)
H (0.000, 0.000, 0.500)